V2OF5 (GGA+U, optimized geometry); Fermi-level density of states = 0.00 states/eV/cell; offset from the most stable computed form = 0.041 eV/atom; magnetization = 9.000 Bohr magnetons per cell; VASP energy = -6.285 eV per atom
1.0
-0.1028 -4.4981 -1.0900
0.9856 -2.0772 8.1591
-6.8871 -1.0666 4.9239
V O F
6 3 15
direct
0.0063 0.6639 0.3385
0.0047 0.3276 0.0058
0.4801 0.0181 0.3267
0.4809 0.3513 0.6580
0.9929 0.9937 0.6742
0.5207 0.6741 0.9854
0.2610 0.2010 0.2192
0.2606 0.5351 0.5484
0.7363 0.7822 0.8024
0.7499 0.1146 0.1164
0.2588 0.8794 0.2378
0.7478 0.7961 0.4199
0.7462 0.4449 0.1042
0.7532 0.0944 0.4511
0.2522 0.8977 0.5510
0.2573 0.2321 0.8839
0.7477 0.4302 0.7842
0.2553 0.5806 0.2018
0.7444 0.7593 0.1237
0.7529 0.4489 0.4498
0.2598 0.2084 0.5744
0.2502 0.5485 0.9054
0.7450 0.1332 0.7527
0.2461 0.8841 0.8877